1.
A geometry-optimized La2Zn3Ga4Rh structure. Source: Alexandria via LeMat-Bulk, functional PBE-GGA.

Lattice parameters (Å, degrees): 4.3490 4.3490 10.4495 90.00 90.00 90.00
Closest atoms and distances in Å follow each position.
Atoms (fractional coordinates):
1 La 0.5000 0.0000 0.2550  6 Zn 3.32-3.36, 8 Ga 3.32-3.44, 2 Rh 3.36
2 La 0.0000 0.5000 0.7450  6 Zn 3.32-3.36, 8 Ga 3.32-3.44, 2 Rh 3.36
3 Zn 0.0000 0.0000 0.5000  4 Ga 2.53
4 Zn 0.5000 0.0000 0.8650  5 Ga 2.51-2.59
5 Zn 0.0000 0.5000 0.1350  5 Ga 2.51-2.59
6 Ga 0.5000 0.5000 0.0000  4 Zn 2.59
7 Ga 0.0000 0.0000 0.0000  4 Zn 2.59
8 Ga 0.5000 0.0000 0.6246  3 Zn 2.51-2.53, 2 Rh 2.53
9 Ga 0.0000 0.5000 0.3754  3 Zn 2.51-2.53, 2 Rh 2.53
10 Rh 0.5000 0.5000 0.5000  4 Ga 2.53

Results
The value obtained for the formation energy is -53 kJ/mol of atoms. The value obtained for the magnetic moment is 0.00 μB per formula unit. As for the volume: 19.8 Å³/atom. The total energy comes out at -3.86 eV per atom.

***

2.
A geometry-optimized LaZnGa3Rh structure. Source: Alexandria via LeMat-Bulk, functional PBE-GGA.

Lattice parameters (Å, degrees): 6.5068 6.5196 6.7562 118.85 90.00 90.00
Closest atoms and distances in Å follow each position.
Atoms (fractional coordinates):
1 La 0.7500 0.2722 0.5444  1 Zn 2.99, 2 Ga 3.30
2 La 0.2500 0.7278 0.4556  1 Zn 2.99, 2 Ga 3.30
3 Zn 0.2500 0.9803 0.9605  5 Ga 2.44-2.52
4 Zn 0.7500 0.0197 0.0395  5 Ga 2.44-2.52
5 Ga 0.2500 0.1864 0.3727  1 Rh 2.37, 1 Zn 2.44
6 Ga 0.0000 0.2926 0.0000  2 Rh 2.50, 2 Zn 2.52, 1 Ga 2.70
7 Ga 0.5000 0.7074 0.0000  2 Rh 2.50, 2 Zn 2.52, 1 Ga 2.70
8 Ga 0.5000 0.2926 0.0000  2 Rh 2.50, 2 Zn 2.52, 1 Ga 2.70
9 Ga 0.0000 0.7074 0.0000  2 Rh 2.50, 2 Zn 2.52, 1 Ga 2.70
10 Ga 0.7500 0.8136 0.6273  1 Rh 2.37, 1 Zn 2.44
11 Rh 0.2500 0.3870 0.7740  5 Ga 2.37-2.50
12 Rh 0.7500 0.6130 0.2260  5 Ga 2.37-2.50

Results
The value obtained for the formation energy is -31 kJ/mol of atoms. The value obtained for the magnetic moment is 0.00 μB per formula unit. As for the volume: 20.9 Å³/atom. The total energy comes out at -4.09 eV per atom.

***

3.
A geometry-optimized LaZn2GaRh structure. Source: Alexandria via LeMat-Bulk, functional PBE-GGA.

Lattice parameters (Å, degrees): 4.7926 4.7926 4.7224 90.00 90.00 90.00
Closest atoms and distances in Å follow each position.
Atoms (fractional coordinates):
1 Zn 0.0000 0.5000 0.0000  2 Rh 2.40
2 Zn 0.5000 0.0000 0.0000  2 Rh 2.40
3 Rh 0.0000 0.0000 0.0000  2 Ga 2.36, 4 Zn 2.40
4 Ga 0.0000 0.0000 0.5000  2 Rh 2.36
5 La 0.5000 0.5000 0.5000  8 Zn 3.36, 4 Ga 3.39

Results
The value obtained for the formation energy is -42 kJ/mol of atoms. The value obtained for the magnetic moment is 0.00 μB per formula unit. As for the volume: 21.7 Å³/atom. The total energy comes out at -4.00 eV per atom.

***

4.
A geometry-optimized La2ZnGa3Rh4 structure. Source: Alexandria via LeMat-Bulk, functional PBE-GGA.

Lattice parameters (Å, degrees): 4.3367 4.3367 10.1702 90.00 90.00 90.00
Closest atoms and distances in Å follow each position.
Atoms (fractional coordinates):
1 La 0.5000 0.0000 0.2414  8 Rh 3.28-3.33, 6 Ga 3.30-3.41, 2 Zn 3.41
2 La 0.0000 0.5000 0.7586  8 Rh 3.28-3.33, 6 Ga 3.30-3.41, 2 Zn 3.41
3 Zn 0.5000 0.5000 0.5000  4 Rh 2.55
4 Ga 0.0000 0.0000 0.5000  4 Rh 2.55
5 Ga 0.5000 0.0000 0.8773  5 Rh 2.50
6 Ga 0.0000 0.5000 0.1227  5 Rh 2.50
7 Rh 0.5000 0.5000 0.0000  4 Ga 2.50
8 Rh 0.0000 0.0000 0.0000  4 Ga 2.50
9 Rh 0.5000 0.0000 0.6315  3 Ga 2.50-2.55, 2 Zn 2.55
10 Rh 0.0000 0.5000 0.3685  3 Ga 2.50-2.55, 2 Zn 2.55

Results
The value obtained for the formation energy is -75 kJ/mol of atoms. The value obtained for the magnetic moment is 0.00 μB per formula unit. As for the volume: 19.1 Å³/atom. The total energy comes out at -5.74 eV per atom.